# 1
## Y8MgNi2 (GGA-PBE)

Data for a geometry-optimized Y8MgNi2 structure.

Cell lengths 8.007, 8.007, 5.407 Å; angles 96.83, 96.83, 114.84 degrees
Atoms (fractional coordinates):
Y (0.108, 0.108, 0.801)
Y (0.168, 0.426, 0.425)
Y (0.247, 0.753, 0.000)
Y (0.426, 0.168, 0.425)
Y (0.574, 0.832, 0.575)
Y (0.753, 0.247, 0.000)
Y (0.832, 0.574, 0.575)
Y (0.892, 0.892, 0.199)
Mg (0.500, 0.500, 0.000)
Ni (0.193, 0.807, 0.500)
Ni (0.807, 0.193, 0.500)

Properties
For the raw total energy, the calculation gives -5.9724 eV per atom. The calculation puts the formation energy at -0.8 eV per formula unit.


# 2
## FeCoRh (GGA-PBE)

Data for a geometry-optimized FeCoRh structure.

Cell lengths 4.105, 4.105, 2.601 Å; angles 90.00, 90.00, 120.00 degrees
Atoms (fractional coordinates):
Fe (0.000, 0.000, 0.000)
Co (0.333, 0.667, 0.824)
Rh (0.667, 0.333, 0.391)

Properties
For the raw total energy, the calculation gives -7.5757 eV per atom. The calculation puts the formation energy at 0.2 eV per formula unit. The value obtained for the relative energy among the computed polymorphs is 58 meV per atom.


no.,volume (Å³/f.u.)
1,306.8
2,38.0